First-principles (PBE) data for crystalline LiBiAs at its relaxed geometry, as listed in Alexandria.

Space group: P-1, No. 2
Energy above the most stable polymorph in this dataset (meV per atom): 0
Calculated formation energy (meV per atom): -157

Unit cell a=3.502 b=8.042 c=6.677 alpha=50.11 beta=90.19 gamma=90.50
Positions (direct):
As 0.948 0.467 0.082
Bi 0.955 0.003 0.175
Bi 0.445 0.173 0.650
Li 0.451 0.687 0.162
As 0.451 0.709 0.742
Li 0.949 0.489 0.662